Material: CaMn2Cr
Method: DFT, SCAN
State: PBEsol geometry

Results
E above lowest polymorph = 0.383 eV per atom
Space-group type = No. 99
Energy relative to the elements = 0.560 eV per atom

a b c (Å): 3.062 3.062 6.650
angles (deg): 90.00 90.00 90.00
Positions (direct):
Ca (0.000, 0.000, 0.000)
Mn (0.000, 0.000, 0.505)
Mn (0.500, 0.500, 0.664)
Cr (0.500, 0.500, 0.357)